No. 1
The following is a DFT calculation (PBE) of a geometry-optimized RuAu2Cl structure.

a b c (Å): 2.8696 3.0974 8.8135
angles (deg): 90.00 95.99 90.00
Element x y z (fractional)
Ru  0.0000  0.0000  0.0000
Au  0.1449  0.0000  0.4481
Au  0.5709  0.5000  0.2195
Cl  0.9385  0.5000  0.8110

Output
ΔE_f (raw) (eV/atom): 0.281
Calculated total energy (eV per cell): -16.55
Space group: Pm (6)
DOS(E_F) (states/eV per cell): 3.71
Energy relative to the lowest polymorph listed for this composition (eV per formula unit): 0.00

No. 2
The following is a DFT calculation (PBE) of a geometry-optimized Ru2AuCl structure.

a b c (Å): 10.2406 2.7928 4.9795
angles (deg): 90.00 108.83 90.00
Element x y z (fractional)
Ru  0.0000  0.0000  0.0000
Ru  0.2195  0.5000  0.1388
Ru  0.5000  0.5000  0.0000
Ru  0.7195  0.0000  0.1388
Au  0.4897  0.0000  0.4838
Au  0.9897  0.5000  0.4838
Cl  0.2851  0.0000  0.8063
Cl  0.7851  0.5000  0.8063

Output
ΔE_f (raw) (eV/atom): 0.644
Calculated total energy (eV per cell): -42.20
Space group: Cm (8)
DOS(E_F) (states/eV per cell): 10.58
Energy relative to the lowest polymorph listed for this composition (eV per formula unit): 1.74

No. 3
The following is a DFT calculation (PBE) of a geometry-optimized RuAu2Cl structure.

a b c (Å): 3.0803 3.0803 26.0481
angles (deg): 90.00 90.00 120.00
Element x y z (fractional)
Ru  0.0000  0.0000  0.0000
Ru  0.3333  0.6667  0.6667
Ru  0.6667  0.3333  0.3333
Au  0.0000  0.0000  0.2518
Au  0.0000  0.0000  0.7482
Au  0.3333  0.6667  0.4149
Au  0.3333  0.6667  0.9184
Au  0.6667  0.3333  0.0816
Au  0.6667  0.3333  0.5851
Cl  0.0000  0.0000  0.5000
Cl  0.3333  0.6667  0.1667
Cl  0.6667  0.3333  0.8333

Output
ΔE_f (raw) (eV/atom): 0.443
Calculated total energy (eV per cell): -47.72
Space group: R-3m (166)
DOS(E_F) (states/eV per cell): 9.99
Energy relative to the lowest polymorph listed for this composition (eV per formula unit): 0.65

No. 4
The following is a DFT calculation (PBE) of a geometry-optimized RuAu2Cl structure.

a b c (Å): 5.1027 5.1027 2.8066
angles (deg): 90.00 90.00 90.00
Element x y z (fractional)
Ru  0.0000  0.0000  0.0000
Au  0.0000  0.5000  0.5000
Au  0.5000  0.0000  0.5000
Cl  0.5000  0.5000  0.0000

Output
ΔE_f (raw) (eV/atom): 0.786
Calculated total energy (eV per cell): -14.53
Space group: P4/mmm (123)
DOS(E_F) (states/eV per cell): 4.27
Energy relative to the lowest polymorph listed for this composition (eV per formula unit): 2.02

No. 5
The following is a DFT calculation (PBE) of a geometry-optimized RuAu2Cl structure.

a b c (Å): 9.1668 3.0112 6.6495
angles (deg): 90.00 100.00 90.00
Element x y z (fractional)
Ru  0.0000  0.0000  0.0000
Ru  0.5000  0.5000  0.0000
Au  0.0016  0.5000  0.6489
Au  0.2548  0.0000  0.8509
Au  0.5016  0.0000  0.6489
Au  0.7548  0.5000  0.8509
Cl  0.0595  0.5000  0.2715
Cl  0.5595  0.0000  0.2715

Output
ΔE_f (raw) (eV/atom): 0.314
Calculated total energy (eV per cell): -32.84
Space group: Cm (8)
DOS(E_F) (states/eV per cell): 5.97
Energy relative to the lowest polymorph listed for this composition (eV per formula unit): 0.13

No. 6
The following is a DFT calculation (PBE) of a geometry-optimized Ru2AuCl structure.

a b c (Å): 2.8927 2.8927 25.3390
angles (deg): 90.00 90.00 120.00
Element x y z (fractional)
Ru  0.0000  0.0000  0.2437
Ru  0.0000  0.0000  0.7563
Ru  0.3333  0.6667  0.4230
Ru  0.3333  0.6667  0.9104
Ru  0.6667  0.3333  0.0896
Ru  0.6667  0.3333  0.5770
Au  0.0000  0.0000  0.0000
Au  0.3333  0.6667  0.6667
Au  0.6667  0.3333  0.3333
Cl  0.0000  0.0000  0.5000
Cl  0.3333  0.6667  0.1667
Cl  0.6667  0.3333  0.8333

Output
ΔE_f (raw) (eV/atom): 0.588
Calculated total energy (eV per cell): -63.97
Space group: R-3m (166)
DOS(E_F) (states/eV per cell): 10.82
Energy relative to the lowest polymorph listed for this composition (eV per formula unit): 1.52